(1)
# Mg2NbTcBi, optimized geometry, DFT PBE-GGA
# * crystal system: tetragonal
data_Mg2NbTcBi
_symmetry_space_group_name_H-M 'P 1'
_symmetry_Int_Tables_number 1
_cell_length_a 5.179
_cell_length_b 5.179
_cell_length_c 5.052
_cell_angle_alpha 90.00
_cell_angle_beta 90.00
_cell_angle_gamma 90.00
loop_
_symmetry_equiv_pos_as_xyz
'x,y,z'
loop_
_atom_site_label
_atom_site_type_symbol
_atom_site_fract_x
_atom_site_fract_y
_atom_site_fract_z
Mg1 Mg 0.000 0.500 0.000
Mg2 Mg 0.500 0.000 0.000
Nb1 Nb 0.000 0.000 0.500
Tc1 Tc 0.500 0.500 0.500
Bi1 Bi 0.500 0.500 0.000



(2)
# MgNbTc2Bi, optimized geometry, DFT PBE-GGA
# * crystal system: tetragonal
data_MgNbTc2Bi
_symmetry_space_group_name_H-M 'P 1'
_symmetry_Int_Tables_number 1
_cell_length_a 4.740
_cell_length_b 4.740
_cell_length_c 5.219
_cell_angle_alpha 90.00
_cell_angle_beta 90.00
_cell_angle_gamma 90.00
loop_
_symmetry_equiv_pos_as_xyz
'x,y,z'
loop_
_atom_site_label
_atom_site_type_symbol
_atom_site_fract_x
_atom_site_fract_y
_atom_site_fract_z
Mg1 Mg 0.000 0.000 0.000
Nb1 Nb 0.000 0.000 0.500
Tc1 Tc 0.000 0.500 0.500
Tc2 Tc 0.500 0.000 0.500
Bi1 Bi 0.500 0.500 0.000



(3)
# Nd2MgBi, optimized geometry, DFT PBE-GGA
# * crystal system: cubic
# * ΔE to the lowest computed polymorph: 41 kJ/mol of formula units
data_Nd2MgBi
_symmetry_space_group_name_H-M 'P 1'
_symmetry_Int_Tables_number 1
_cell_length_a 7.854
_cell_length_b 7.854
_cell_length_c 7.854
_cell_angle_alpha 90.00
_cell_angle_beta 90.00
_cell_angle_gamma 90.00
loop_
_symmetry_equiv_pos_as_xyz
'x,y,z'
loop_
_atom_site_label
_atom_site_type_symbol
_atom_site_fract_x
_atom_site_fract_y
_atom_site_fract_z
Nd1 Nd 0.250 0.250 0.250
Nd2 Nd 0.250 0.250 0.750
Nd3 Nd 0.250 0.750 0.250
Nd4 Nd 0.250 0.750 0.750
Nd5 Nd 0.750 0.250 0.250
Nd6 Nd 0.750 0.250 0.750
Nd7 Nd 0.750 0.750 0.250
Nd8 Nd 0.750 0.750 0.750
Mg1 Mg 0.000 0.000 0.000
Mg2 Mg 0.000 0.500 0.500
Mg3 Mg 0.500 0.000 0.500
Mg4 Mg 0.500 0.500 0.000
Bi1 Bi 0.000 0.000 0.500
Bi2 Bi 0.000 0.500 0.000
Bi3 Bi 0.500 0.000 0.000
Bi4 Bi 0.500 0.500 0.500



| no. | calculated total energy (eV/cell) | energy of formation (eV/atom) | DOS(E_F) (states/eV/f.u.) |
| --- | --- | --- | --- |
| 1 | -19.28 | 1.646 | 4.73 |
| 2 | -30.04 | 1.247 | 5.45 |
| 3 | -65.99 | -0.371 | 3.88 |